# Sr2MgTl5

Crystalline Sr2MgTl5 at its relaxed geometry (PBE, the Alexandria database).

Geometry as CIF:
```
data_Sr2MgTl5
_chemical_formula_sum 'Sr2 Mg1 Tl5'
_cell_length_a 6.8685
_cell_length_b 6.8685
_cell_length_c 6.8685
_cell_angle_alpha 102.06
_cell_angle_beta 113.30
_cell_angle_gamma 113.30
_symmetry_space_group_name_H-M 'P 1'
_symmetry_Int_Tables_number 1
loop_
_symmetry_equiv_pos_as_xyz
'x,y,z'
loop_
_atom_site_label
_atom_site_type_symbol
_atom_site_fract_x
_atom_site_fract_y
_atom_site_fract_z
Mg1 Mg 0.0000 0.8233 0.8233
Tl1 Tl 0.4413 0.7500 0.7500
Tl2 Tl 0.5587 0.3087 0.3087
Tl3 Tl 0.0000 0.7500 0.3087
Tl4 Tl 0.0000 0.2217 0.2217
Tl5 Tl 0.0000 0.3087 0.7500
Sr1 Sr 0.5000 0.2799 0.7799
Sr2 Sr 0.5000 0.7799 0.2799
```

Values from the calculation:
The value obtained for the energy relative to the elements is -239 meV/atom. The magnetic moment is 0.0 Bohr magnetons per cell. For the theoretical density, the calculation gives 8.23 g/cm3. As for the energy above the most stable polymorph in this dataset: 0 kJ/mol of formula units.

# Sr2MgTl

Crystalline Sr2MgTl at its relaxed geometry (PBE, the Alexandria database).

Geometry as CIF:
```
data_Sr2MgTl
_chemical_formula_sum 'Sr2 Mg1 Tl1'
_cell_length_a 6.3985
_cell_length_b 6.3985
_cell_length_c 6.3985
_cell_angle_alpha 132.47
_cell_angle_beta 132.47
_cell_angle_gamma 69.49
_symmetry_space_group_name_H-M 'P 1'
_symmetry_Int_Tables_number 1
loop_
_symmetry_equiv_pos_as_xyz
'x,y,z'
loop_
_atom_site_label
_atom_site_type_symbol
_atom_site_fract_x
_atom_site_fract_y
_atom_site_fract_z
Tl1 Tl 0.5000 0.5000 0.0000
Mg1 Mg 0.7500 0.2500 0.5000
Sr1 Sr 0.2500 0.7500 0.5000
Sr2 Sr 0.0000 0.0000 0.0000
```

Values from the calculation:
The value obtained for the energy relative to the elements is -103 meV/atom. The magnetic moment is 0.0 Bohr magnetons per cell. For the theoretical density, the calculation gives 4.80 g/cm3.

# Sr6MgTl3

Crystalline Sr6MgTl3 at its relaxed geometry (PBE, the Alexandria database).

Geometry as CIF:
```
data_Sr6MgTl3
_chemical_formula_sum 'Sr12 Mg2 Tl6'
_cell_length_a 5.8497
_cell_length_b 10.4320
_cell_length_c 12.9125
_cell_angle_alpha 106.77
_cell_angle_beta 90.00
_cell_angle_gamma 90.00
_symmetry_space_group_name_H-M 'P 1'
_symmetry_Int_Tables_number 1
loop_
_symmetry_equiv_pos_as_xyz
'x,y,z'
loop_
_atom_site_label
_atom_site_type_symbol
_atom_site_fract_x
_atom_site_fract_y
_atom_site_fract_z
Tl1 Tl 0.2500 0.7799 0.9755
Tl2 Tl 0.2500 0.5370 0.3844
Tl3 Tl 0.7500 0.6270 0.2166
Tl4 Tl 0.7500 0.2201 0.0245
Tl5 Tl 0.7500 0.4630 0.6156
Tl6 Tl 0.2500 0.3730 0.7834
Sr1 Sr 0.2500 0.1081 0.8835
Sr2 Sr 0.7500 0.5285 0.9078
Sr3 Sr 0.7500 0.1726 0.6905
Sr4 Sr 0.2500 0.6404 0.6811
Sr5 Sr 0.7500 0.7425 0.4961
Sr6 Sr 0.2500 0.1329 0.1733
Sr7 Sr 0.7500 0.8671 0.8267
Sr8 Sr 0.2500 0.2575 0.5039
Sr9 Sr 0.7500 0.3596 0.3189
Sr10 Sr 0.2500 0.4715 0.0922
Sr11 Sr 0.2500 0.8274 0.3095
Sr12 Sr 0.7500 0.8919 0.1165
Mg1 Mg 0.2500 0.9563 0.6015
Mg2 Mg 0.7500 0.0437 0.3985
```

Values from the calculation:
The value obtained for the energy relative to the elements is -251 meV/atom. The magnetic moment is 0.0 Bohr magnetons per cell. For the theoretical density, the calculation gives 5.12 g/cm3.

# Sr2MgTl2

Crystalline Sr2MgTl2 at its relaxed geometry (PBE, the Alexandria database).

Geometry as CIF:
```
data_Sr2MgTl2
_chemical_formula_sum 'Sr4 Mg2 Tl4'
_cell_length_a 9.4189
_cell_length_b 9.4189
_cell_length_c 4.0679
_cell_angle_alpha 90.00
_cell_angle_beta 90.00
_cell_angle_gamma 90.00
_symmetry_space_group_name_H-M 'P 1'
_symmetry_Int_Tables_number 1
loop_
_symmetry_equiv_pos_as_xyz
'x,y,z'
loop_
_atom_site_label
_atom_site_type_symbol
_atom_site_fract_x
_atom_site_fract_y
_atom_site_fract_z
Tl1 Tl 0.3567 0.1433 0.5000
Tl2 Tl 0.1433 0.6433 0.5000
Tl3 Tl 0.8567 0.3567 0.5000
Tl4 Tl 0.6433 0.8567 0.5000
Sr1 Sr 0.1547 0.3453 0.0000
Sr2 Sr 0.8453 0.6547 0.0000
Sr3 Sr 0.6547 0.1547 0.0000
Sr4 Sr 0.3453 0.8453 0.0000
Mg1 Mg 0.5000 0.5000 0.0000
Mg2 Mg 0.0000 0.0000 0.0000
```

Values from the calculation:
The value obtained for the energy relative to the elements is -93 meV/atom. The magnetic moment is 0.0 Bohr magnetons per cell. For the theoretical density, the calculation gives 5.60 g/cm3. As for the energy above the most stable polymorph in this dataset: 111 kJ/mol of formula units.

# Sr2MgTl12

Crystalline Sr2MgTl12 at its relaxed geometry (PBE, the Alexandria database).

Geometry as CIF:
```
data_Sr2MgTl12
_chemical_formula_sum 'Sr4 Mg2 Tl24'
_cell_length_a 6.9884
_cell_length_b 6.9884
_cell_length_c 20.0680
_cell_angle_alpha 90.00
_cell_angle_beta 90.00
_cell_angle_gamma 90.00
_symmetry_space_group_name_H-M 'P 1'
_symmetry_Int_Tables_number 1
loop_
_symmetry_equiv_pos_as_xyz
'x,y,z'
loop_
_atom_site_label
_atom_site_type_symbol
_atom_site_fract_x
_atom_site_fract_y
_atom_site_fract_z
Tl1 Tl 0.0000 0.0000 0.3397
Tl2 Tl 0.2496 0.2504 0.9091
Tl3 Tl 0.3337 0.8337 0.4318
Tl4 Tl 0.0000 0.0000 0.8082
Tl5 Tl 0.7496 0.7504 0.0909
Tl6 Tl 0.8337 0.3337 0.5682
Tl7 Tl 0.6663 0.8337 0.5682
Tl8 Tl 0.7496 0.2496 0.9091
Tl9 Tl 0.1663 0.3337 0.4318
Tl10 Tl 0.5000 0.5000 0.3397
Tl11 Tl 0.0000 0.0000 0.1918
Tl12 Tl 0.7504 0.2504 0.0909
Tl13 Tl 0.2504 0.7504 0.9091
Tl14 Tl 0.8337 0.6663 0.4318
Tl15 Tl 0.2496 0.7496 0.0909
Tl16 Tl 0.5000 0.5000 0.8082
Tl17 Tl 0.5000 0.5000 0.6603
Tl18 Tl 0.0000 0.0000 0.6603
Tl19 Tl 0.3337 0.1663 0.5682
Tl20 Tl 0.2504 0.2496 0.0909
Tl21 Tl 0.6663 0.1663 0.4318
Tl22 Tl 0.7504 0.7496 0.9091
Tl23 Tl 0.5000 0.5000 0.1918
Tl24 Tl 0.1663 0.6663 0.5682
Mg1 Mg 0.0000 0.5000 0.0000
Mg2 Mg 0.5000 0.0000 0.0000
Sr1 Sr 0.5000 0.0000 0.2477
Sr2 Sr 0.5000 0.0000 0.7523
Sr3 Sr 0.0000 0.5000 0.7523
Sr4 Sr 0.0000 0.5000 0.2477
```

Values from the calculation:
The value obtained for the energy relative to the elements is -64 meV/atom. The magnetic moment is 0.0 Bohr magnetons per cell. For the theoretical density, the calculation gives 8.99 g/cm3.

# Sr2Mg3Tl6

Crystalline Sr2Mg3Tl6 at its relaxed geometry (PBE, the Alexandria database).

Geometry as CIF:
```
data_Sr2Mg3Tl6
_chemical_formula_sum 'Sr2 Mg3 Tl6'
_cell_length_a 4.3966
_cell_length_b 8.9066
_cell_length_c 8.9066
_cell_angle_alpha 79.47
_cell_angle_beta 90.00
_cell_angle_gamma 90.00
_symmetry_space_group_name_H-M 'P 1'
_symmetry_Int_Tables_number 1
loop_
_symmetry_equiv_pos_as_xyz
'x,y,z'
loop_
_atom_site_label
_atom_site_type_symbol
_atom_site_fract_x
_atom_site_fract_y
_atom_site_fract_z
Tl1 Tl 0.5000 0.3360 0.9800
Tl2 Tl 0.5000 0.3597 0.3597
Tl3 Tl 0.5000 0.9800 0.3360
Tl4 Tl 0.5000 0.0200 0.6640
Tl5 Tl 0.5000 0.6403 0.6403
Tl6 Tl 0.5000 0.6640 0.0200
Sr1 Sr 0.0000 0.6870 0.3130
Sr2 Sr 0.0000 0.3130 0.6870
Mg1 Mg 0.0000 0.1980 0.1980
Mg2 Mg 0.0000 0.8020 0.8020
Mg3 Mg 0.5000 0.0000 0.0000
```

Values from the calculation:
The value obtained for the energy relative to the elements is -101 meV/atom. The magnetic moment is 0.0 Bohr magnetons per cell. For the theoretical density, the calculation gives 7.14 g/cm3.

# SrMg5Tl7

Crystalline SrMg5Tl7 at its relaxed geometry (PBE, the Alexandria database).

Geometry as CIF:
```
data_SrMg5Tl7
_chemical_formula_sum 'Sr1 Mg5 Tl7'
_cell_length_a 6.2653
_cell_length_b 8.2075
_cell_length_c 8.2075
_cell_angle_alpha 82.05
_cell_angle_beta 66.15
_cell_angle_gamma 66.15
_symmetry_space_group_name_H-M 'P 1'
_symmetry_Int_Tables_number 1
loop_
_symmetry_equiv_pos_as_xyz
'x,y,z'
loop_
_atom_site_label
_atom_site_type_symbol
_atom_site_fract_x
_atom_site_fract_y
_atom_site_fract_z
Sr1 Sr 0.9952 0.0052 0.0052
Tl1 Tl 0.6387 0.3616 0.3616
Tl2 Tl 0.9917 0.6632 0.3467
Tl3 Tl 0.9917 0.3467 0.6632
Tl4 Tl 0.5083 0.1792 0.7990
Tl5 Tl 0.5083 0.7990 0.1792
Tl6 Tl 0.3342 0.6684 0.6684
Tl7 Tl 0.2858 0.2252 0.2252
Mg1 Mg 0.7386 0.7597 0.7597
Mg2 Mg 0.0061 0.0002 0.4929
Mg3 Mg 0.4976 0.4967 0.0019
Mg4 Mg 0.0061 0.4929 0.0002
Mg5 Mg 0.4976 0.0019 0.4967
```

Values from the calculation:
The value obtained for the energy relative to the elements is -102 meV/atom. The magnetic moment is 0.0 Bohr magnetons per cell. For the theoretical density, the calculation gives 7.72 g/cm3.

# SrMgTl

Crystalline SrMgTl at its relaxed geometry (PBE, the Alexandria database).

Geometry as CIF:
```
data_SrMgTl
_chemical_formula_sum 'Sr2 Mg2 Tl2'
_cell_length_a 5.1070
_cell_length_b 6.5247
_cell_length_c 6.7223
_cell_angle_alpha 76.60
_cell_angle_beta 67.68
_cell_angle_gamma 66.96
_symmetry_space_group_name_H-M 'P 1'
_symmetry_Int_Tables_number 1
loop_
_symmetry_equiv_pos_as_xyz
'x,y,z'
loop_
_atom_site_label
_atom_site_type_symbol
_atom_site_fract_x
_atom_site_fract_y
_atom_site_fract_z
Mg1 Mg 0.6662 0.7654 0.9022
Mg2 Mg 0.3338 0.2346 0.0978
Tl1 Tl 0.6674 0.3827 0.2826
Tl2 Tl 0.3326 0.6173 0.7174
Sr1 Sr 0.9502 0.7945 0.3051
Sr2 Sr 0.0498 0.2055 0.6949
```

Values from the calculation:
The value obtained for the energy relative to the elements is -268 meV/atom. The magnetic moment is 0.0 Bohr magnetons per cell. For the theoretical density, the calculation gives 5.54 g/cm3.

# Sr2MgTl

Crystalline Sr2MgTl at its relaxed geometry (PBE, the Alexandria database).

Geometry as CIF:
```
data_Sr2MgTl
_chemical_formula_sum 'Sr2 Mg1 Tl1'
_cell_length_a 4.0603
_cell_length_b 4.0603
_cell_length_c 9.0679
_cell_angle_alpha 90.00
_cell_angle_beta 90.00
_cell_angle_gamma 89.99
_symmetry_space_group_name_H-M 'P 1'
_symmetry_Int_Tables_number 1
loop_
_symmetry_equiv_pos_as_xyz
'x,y,z'
loop_
_atom_site_label
_atom_site_type_symbol
_atom_site_fract_x
_atom_site_fract_y
_atom_site_fract_z
Sr1 Sr 0.0000 0.0000 0.9461
Sr2 Sr 0.5000 0.5000 0.3073
Mg1 Mg 0.5000 0.5000 0.7042
Tl1 Tl 0.0000 0.0000 0.5425
```

Values from the calculation:
The value obtained for the energy relative to the elements is -140 meV/atom. The magnetic moment is 0.0 Bohr magnetons per cell. For the theoretical density, the calculation gives 4.49 g/cm3.

# Sr3MgTl6

Crystalline Sr3MgTl6 at its relaxed geometry (PBE, the Alexandria database).

Geometry as CIF:
```
data_Sr3MgTl6
_chemical_formula_sum 'Sr6 Mg2 Tl12'
_cell_length_a 8.7537
_cell_length_b 8.7537
_cell_length_c 8.7537
_cell_angle_alpha 97.58
_cell_angle_beta 97.58
_cell_angle_gamma 97.58
_symmetry_space_group_name_H-M 'P 1'
_symmetry_Int_Tables_number 1
loop_
_symmetry_equiv_pos_as_xyz
'x,y,z'
loop_
_atom_site_label
_atom_site_type_symbol
_atom_site_fract_x
_atom_site_fract_y
_atom_site_fract_z
Tl1 Tl 0.8597 0.5685 0.5650
Tl2 Tl 0.5685 0.5650 0.8597
Tl3 Tl 0.0685 0.3596 0.0650
Tl4 Tl 0.6404 0.9350 0.9315
Tl5 Tl 0.9350 0.9315 0.6404
Tl6 Tl 0.1403 0.4315 0.4350
Tl7 Tl 0.4315 0.4350 0.1403
Tl8 Tl 0.9315 0.6404 0.9350
Tl9 Tl 0.4350 0.1403 0.4315
Tl10 Tl 0.3596 0.0650 0.0685
Tl11 Tl 0.5650 0.8597 0.5685
Tl12 Tl 0.0650 0.0685 0.3596
Sr1 Sr 0.7450 0.7551 0.2500
Sr2 Sr 0.7500 0.2550 0.2449
Sr3 Sr 0.7551 0.2500 0.7450
Sr4 Sr 0.2550 0.2449 0.7500
Sr5 Sr 0.2449 0.7500 0.2550
Sr6 Sr 0.2500 0.7450 0.7551
Mg1 Mg 0.5000 0.5000 0.5000
Mg2 Mg 0.0000 0.0000 0.0000
```

Values from the calculation:
The value obtained for the energy relative to the elements is -259 meV/atom. The magnetic moment is 0.0 Bohr magnetons per cell. For the theoretical density, the calculation gives 7.72 g/cm3.

# SrMgTl

Crystalline SrMgTl at its relaxed geometry (PBE, the Alexandria database).

Geometry as CIF:
```
data_SrMgTl
_chemical_formula_sum 'Sr1 Mg1 Tl1'
_cell_length_a 5.3271
_cell_length_b 5.3271
_cell_length_c 5.3271
_cell_angle_alpha 60.00
_cell_angle_beta 60.00
_cell_angle_gamma 60.00
_symmetry_space_group_name_H-M 'P 1'
_symmetry_Int_Tables_number 1
loop_
_symmetry_equiv_pos_as_xyz
'x,y,z'
loop_
_atom_site_label
_atom_site_type_symbol
_atom_site_fract_x
_atom_site_fract_y
_atom_site_fract_z
Mg1 Mg 0.0000 0.0000 0.0000
Sr1 Sr 0.5000 0.5000 0.5000
Tl1 Tl 0.7500 0.7500 0.7500
```

Values from the calculation:
The value obtained for the energy relative to the elements is -111 meV/atom. The magnetic moment is 0.7 Bohr magnetons per cell. For the theoretical density, the calculation gives 4.91 g/cm3.

# Sr2MgTl

Crystalline Sr2MgTl at its relaxed geometry (PBE, the Alexandria database).

Geometry as CIF:
```
data_Sr2MgTl
_chemical_formula_sum 'Sr4 Mg2 Tl2'
_cell_length_a 9.2218
_cell_length_b 9.2218
_cell_length_c 7.5336
_cell_angle_alpha 52.26
_cell_angle_beta 52.26
_cell_angle_gamma 90.00
_symmetry_space_group_name_H-M 'P 1'
_symmetry_Int_Tables_number 1
loop_
_symmetry_equiv_pos_as_xyz
'x,y,z'
loop_
_atom_site_label
_atom_site_type_symbol
_atom_site_fract_x
_atom_site_fract_y
_atom_site_fract_z
Mg1 Mg 0.5000 0.5000 0.0000
Mg2 Mg 0.2500 0.7500 0.5000
Sr1 Sr 0.8750 0.8896 0.7500
Sr2 Sr 0.1104 0.6250 0.2500
Sr3 Sr 0.6396 0.1250 0.2500
Sr4 Sr 0.3750 0.3604 0.7500
Tl1 Tl 0.0000 0.0000 0.0000
Tl2 Tl 0.7500 0.2500 0.5000
```

Values from the calculation:
The value obtained for the energy relative to the elements is 50 meV/atom. The magnetic moment is 0.0 Bohr magnetons per cell. For the theoretical density, the calculation gives 4.18 g/cm3.